No. 1
DFT (PBE) results for Al2InTe after structural relaxation.

Cell and atoms, written as CIF:
```
data_Al2InTe
_symmetry_space_group_name_H-M 'C m m m'
_symmetry_Int_Tables_number 65
_symmetry_space_group_name_Hall '-C 2 2'
_cell_length_a 6.534
_cell_length_b 7.764
_cell_length_c 3.707
_cell_angle_alpha 90.00
_cell_angle_beta 90.00
_cell_angle_gamma 90.00
loop_
_atom_site_label
_atom_site_type_symbol
_atom_site_fract_x
_atom_site_fract_y
_atom_site_fract_z
_atom_site_occupancy
Al1 Al 0.250 0.250 0.000 1
In1 In 0.000 0.000 0.500 1
Te1 Te 0.000 0.500 0.500 1
```

Values from the calculation:
As for the calculated density: 5.2 g/cm³. Its total magnetization is 0.0 μB/f.u. As for the crystal system: orthorhombic. The calculation puts the raw formation energy at 0.70 eV/f.u. For the density of states at the Fermi level, the calculation gives 0.494 states/eV/atom. The value obtained for the energy above the most stable polymorph in this dataset is 55 kJ/mol of formula units.


No. 2
DFT (PBE) results for Al2InTe after structural relaxation.

Cell and atoms, written as CIF:
```
data_Al2InTe
_symmetry_space_group_name_H-M 'P m m m'
_symmetry_Int_Tables_number 47
_cell_length_a 3.734
_cell_length_b 4.631
_cell_length_c 5.575
_cell_angle_alpha 90.00
_cell_angle_beta 90.00
_cell_angle_gamma 90.00
loop_
_symmetry_equiv_pos_as_xyz
'x,y,z'
'-x,-y,-z'
'-x,-y,z'
'x,y,-z'
'x,-y,-z'
'-x,y,z'
'-x,y,-z'
'x,-y,z'
loop_
_atom_site_label
_atom_site_type_symbol
_atom_site_fract_x
_atom_site_fract_y
_atom_site_fract_z
_atom_site_occupancy
Al1 Al 0.000 0.000 0.000 1
Al2 Al 0.500 0.000 0.500 1
In1 In 0.000 0.500 0.500 1
Te1 Te 0.500 0.500 0.000 1
```

Values from the calculation:
As for the calculated density: 5.1 g/cm³. Its total magnetization is 0.0 μB/f.u. As for the crystal system: orthorhombic. The calculation puts the raw formation energy at 0.76 eV/f.u. For the density of states at the Fermi level, the calculation gives 0.434 states/eV/atom. The value obtained for the energy above the most stable polymorph in this dataset is 61 kJ/mol of formula units.


No. 3
DFT (PBE) results for AlInTe after structural relaxation.

Cell and atoms, written as CIF:
```
data_AlInTe
_symmetry_space_group_name_H-M 'P 1 2/m 1'
_symmetry_Int_Tables_number 10
_cell_length_a 5.132
_cell_length_b 4.200
_cell_length_c 8.866
_cell_angle_alpha 90.00
_cell_angle_beta 105.86
_cell_angle_gamma 90.00
loop_
_symmetry_equiv_pos_as_xyz
'x,y,z'
'-x,-y,-z'
'-x,y,-z'
'x,-y,z'
loop_
_atom_site_label
_atom_site_type_symbol
_atom_site_fract_x
_atom_site_fract_y
_atom_site_fract_z
_atom_site_occupancy
Al1 Al 0.227 0.000 0.452 1
In1 In 0.399 0.000 0.811 1
Te1 Te 0.127 0.500 0.242 1
```

Values from the calculation:
As for the calculated density: 4.9 g/cm³. Its total magnetization is 0.0 μB/f.u. As for the crystal system: monoclinic. The calculation puts the raw formation energy at -0.36 eV/f.u. For the density of states at the Fermi level, the calculation gives 0.288 states/eV/atom. The value obtained for the energy above the most stable polymorph in this dataset is 4 kJ/mol of formula units.


No. 4
DFT (PBE) results for AlInTe after structural relaxation.

Cell and atoms, written as CIF:
```
data_AlInTe
_symmetry_space_group_name_H-M 'C 1 m 1'
_symmetry_Int_Tables_number 8
_cell_length_a 12.167
_cell_length_b 3.983
_cell_length_c 7.409
_cell_angle_alpha 90.00
_cell_angle_beta 102.63
_cell_angle_gamma 90.00
loop_
_symmetry_equiv_pos_as_xyz
'x,y,z'
'x,-y,z'
'x+1/2,y+1/2,z'
'x+1/2,-y+1/2,z'
loop_
_atom_site_label
_atom_site_type_symbol
_atom_site_fract_x
_atom_site_fract_y
_atom_site_fract_z
_atom_site_occupancy
Al1 Al 0.000 0.000 0.000 1
Al2 Al 0.227 0.000 0.999 1
In1 In 0.123 0.000 0.374 1
In2 In 0.149 0.500 0.699 1
Te1 Te 0.334 0.500 0.231 1
Te2 Te 0.407 0.000 0.773 1
```

Values from the calculation:
As for the calculated density: 5.1 g/cm³. Its total magnetization is 0.0 μB/f.u. As for the crystal system: monoclinic. The calculation puts the raw formation energy at -0.34 eV/f.u. For the density of states at the Fermi level, the calculation gives 0.266 states/eV/atom. The value obtained for the energy above the most stable polymorph in this dataset is 5 kJ/mol of formula units.


No. 5
DFT (PBE) results for Al2InTe after structural relaxation.

Cell and atoms, written as CIF:
```
data_Al2InTe
_symmetry_space_group_name_H-M 'C m m m'
_symmetry_Int_Tables_number 65
_symmetry_space_group_name_Hall '-C 2 2'
_cell_length_a 3.866
_cell_length_b 5.186
_cell_length_c 9.437
_cell_angle_alpha 90.00
_cell_angle_beta 90.00
_cell_angle_gamma 90.00
loop_
_atom_site_label
_atom_site_type_symbol
_atom_site_fract_x
_atom_site_fract_y
_atom_site_fract_z
_atom_site_occupancy
Al1 Al 0.000 0.000 0.249 1
In1 In 0.000 0.500 0.500 1
Te1 Te 0.000 0.500 0.000 1
```

Values from the calculation:
As for the calculated density: 5.2 g/cm³. Its total magnetization is 0.0 μB/f.u. As for the crystal system: orthorhombic. The calculation puts the raw formation energy at 0.98 eV/f.u. For the density of states at the Fermi level, the calculation gives 0.319 states/eV/atom. The value obtained for the energy above the most stable polymorph in this dataset is 82 kJ/mol of formula units.


No. 6
DFT (PBE) results for Al2InTe after structural relaxation.

Cell and atoms, written as CIF:
```
data_Al2InTe
_symmetry_space_group_name_H-M 'P m m m'
_symmetry_Int_Tables_number 47
_cell_length_a 3.075
_cell_length_b 4.079
_cell_length_c 7.595
_cell_angle_alpha 90.00
_cell_angle_beta 90.00
_cell_angle_gamma 90.00
loop_
_symmetry_equiv_pos_as_xyz
'x,y,z'
'-x,-y,-z'
'-x,-y,z'
'x,y,-z'
'x,-y,-z'
'-x,y,z'
'-x,y,-z'
'x,-y,z'
loop_
_atom_site_label
_atom_site_type_symbol
_atom_site_fract_x
_atom_site_fract_y
_atom_site_fract_z
_atom_site_occupancy
Al1 Al 0.000 0.000 0.218 1
In1 In 0.500 0.500 0.000 1
Te1 Te 0.000 0.500 0.500 1
```

Values from the calculation:
As for the calculated density: 5.2 g/cm³. Its total magnetization is 0.0 μB/f.u. As for the crystal system: orthorhombic. The calculation puts the raw formation energy at 0.38 eV/f.u. For the density of states at the Fermi level, the calculation gives 0.346 states/eV/atom. The value obtained for the energy above the most stable polymorph in this dataset is 24 kJ/mol of formula units.


No. 7
DFT (PBE) results for Al3InTe after structural relaxation.

Cell and atoms, written as CIF:
```
data_Al3InTe
_symmetry_space_group_name_H-M 'P m -3 m'
_symmetry_Int_Tables_number 221
_symmetry_space_group_name_Hall '-P 4 2 3'
_cell_length_a 5.240
_cell_length_b 5.240
_cell_length_c 5.240
_cell_angle_alpha 90.00
_cell_angle_beta 90.00
_cell_angle_gamma 90.00
loop_
_atom_site_label
_atom_site_type_symbol
_atom_site_fract_x
_atom_site_fract_y
_atom_site_fract_z
_atom_site_occupancy
Al1 Al 0.000 0.000 0.500 1
In1 In 0.000 0.000 0.000 1
Te1 Te 0.500 0.500 0.500 1
```

Values from the calculation:
As for the calculated density: 3.7 g/cm³. Its total magnetization is 0.0 μB/f.u. As for the crystal system: cubic. The calculation puts the raw formation energy at 2.80 eV/f.u. For the density of states at the Fermi level, the calculation gives 0.314 states/eV/atom. The value obtained for the energy above the most stable polymorph in this dataset is 0 kJ/mol of formula units.


No. 8
DFT (PBE) results for AlIn3Te after structural relaxation.

Cell and atoms, written as CIF:
```
data_AlIn3Te
_symmetry_space_group_name_H-M 'P m -3 m'
_symmetry_Int_Tables_number 221
_symmetry_space_group_name_Hall '-P 4 2 3'
_cell_length_a 5.364
_cell_length_b 5.364
_cell_length_c 5.364
_cell_angle_alpha 90.00
_cell_angle_beta 90.00
_cell_angle_gamma 90.00
loop_
_atom_site_label
_atom_site_type_symbol
_atom_site_fract_x
_atom_site_fract_y
_atom_site_fract_z
_atom_site_occupancy
Al1 Al 0.000 0.000 0.000 1
In1 In 0.000 0.000 0.500 1
Te1 Te 0.500 0.500 0.500 1
```

Values from the calculation:
As for the calculated density: 5.4 g/cm³. Its total magnetization is 0.0 μB/f.u. As for the crystal system: cubic. The calculation puts the raw formation energy at 0.61 eV/f.u. For the density of states at the Fermi level, the calculation gives 0.296 states/eV/atom. The value obtained for the energy above the most stable polymorph in this dataset is 0 kJ/mol of formula units.


No. 9
DFT (PBE) results for Al2InTe after structural relaxation.

Cell and atoms, written as CIF:
```
data_Al2InTe
_symmetry_space_group_name_H-M 'F m -3 m'
_symmetry_Int_Tables_number 225
_symmetry_space_group_name_Hall '-F 4 2 3'
_cell_length_a 7.189
_cell_length_b 7.189
_cell_length_c 7.189
_cell_angle_alpha 90.00
_cell_angle_beta 90.00
_cell_angle_gamma 90.00
loop_
_atom_site_label
_atom_site_type_symbol
_atom_site_fract_x
_atom_site_fract_y
_atom_site_fract_z
_atom_site_occupancy
Al1 Al 0.250 0.250 0.250 1
In1 In 0.000 0.000 0.000 1
Te1 Te 0.000 0.000 0.500 1
```

Values from the calculation:
As for the calculated density: 5.3 g/cm³. Its total magnetization is 0.0 μB/f.u. As for the crystal system: cubic. The calculation puts the raw formation energy at 0.99 eV/f.u. For the density of states at the Fermi level, the calculation gives 0.588 states/eV/atom. The value obtained for the energy above the most stable polymorph in this dataset is 82 kJ/mol of formula units.


No. 10
DFT (PBE) results for AlInTe after structural relaxation.

Cell and atoms, written as CIF:
```
data_AlInTe
_symmetry_space_group_name_H-M 'P m m a'
_symmetry_Int_Tables_number 51
_cell_length_a 5.084
_cell_length_b 4.291
_cell_length_c 8.092
_cell_angle_alpha 90.00
_cell_angle_beta 90.00
_cell_angle_gamma 90.00
loop_
_symmetry_equiv_pos_as_xyz
'x,y,z'
'-x,-y,-z'
'-x+1/2,-y,z'
'x+1/2,y,-z'
'x+1/2,-y,-z'
'-x+1/2,y,z'
'-x,y,-z'
'x,-y,z'
loop_
_atom_site_label
_atom_site_type_symbol
_atom_site_fract_x
_atom_site_fract_y
_atom_site_fract_z
_atom_site_occupancy
Al1 Al 0.250 0.000 0.052 1
In1 In 0.250 0.000 0.657 1
Te1 Te 0.250 0.500 0.267 1
```

Values from the calculation:
As for the calculated density: 5.1 g/cm³. Its total magnetization is 0.0 μB/f.u. As for the crystal system: orthorhombic. The calculation puts the raw formation energy at -0.37 eV/f.u. For the density of states at the Fermi level, the calculation gives 0.161 states/eV/atom. The value obtained for the energy above the most stable polymorph in this dataset is 2 kJ/mol of formula units.


No. 11
DFT (PBE) results for Al2InTe after structural relaxation.

Cell and atoms, written as CIF:
```
data_Al2InTe
_symmetry_space_group_name_H-M 'R 3 m'
_symmetry_Int_Tables_number 160
_symmetry_space_group_name_Hall 'R 3 -2"'
_cell_length_a 3.4810
_cell_length_b 3.4810
_cell_length_c 30.1169
_cell_angle_alpha 90.00
_cell_angle_beta 90.00
_cell_angle_gamma 120.00
loop_
_atom_site_label
_atom_site_type_symbol
_atom_site_fract_x
_atom_site_fract_y
_atom_site_fract_z
_atom_site_occupancy
Al1 Al 0.0000 0.0000 0.0000 1
Al2 Al 0.0000 0.0000 0.2650 1
In1 In 0.0000 0.0000 0.5182 1
Te1 Te 0.0000 0.0000 0.7280 1
```

Values from the calculation:
As for the calculated density: 4.7 g/cm³. Its total magnetization is 0.0 μB/f.u. As for the crystal system: trigonal. The calculation puts the raw formation energy at 0.52 eV/f.u. For the density of states at the Fermi level, the calculation gives 0.265 states/eV/atom. The value obtained for the energy above the most stable polymorph in this dataset is 37 kJ/mol of formula units.


No. 12
DFT (PBE) results for AlInTe after structural relaxation.

Cell and atoms, written as CIF:
```
data_AlInTe
_symmetry_space_group_name_H-M 'P -1'
_symmetry_Int_Tables_number 2
_cell_length_a 4.138
_cell_length_b 6.327
_cell_length_c 7.250
_cell_angle_alpha 101.64
_cell_angle_beta 92.23
_cell_angle_gamma 106.34
loop_
_symmetry_equiv_pos_as_xyz
'x,y,z'
'-x,-y,-z'
loop_
_atom_site_label
_atom_site_type_symbol
_atom_site_fract_x
_atom_site_fract_y
_atom_site_fract_z
_atom_site_occupancy
Al1 Al 0.113 0.208 0.106 1
In1 In 0.372 0.723 0.185 1
Te1 Te 0.354 0.755 0.646 1
```

Values from the calculation:
As for the calculated density: 5.0 g/cm³. Its total magnetization is 0.0 μB/f.u. As for the crystal system: triclinic. The calculation puts the raw formation energy at -0.20 eV/f.u. For the density of states at the Fermi level, the calculation gives 0.315 states/eV/atom. The value obtained for the energy above the most stable polymorph in this dataset is 18 kJ/mol of formula units.